Entry 1:
4
Lattice="3.433 0.000 0.000 1.716 2.973 0.000 1.716 0.991 11.255" Properties=species:S:1:pos:R:3 comment="Th2ZnAu (GGA-PBE, relaxed)" mass_density_g_cm3=10.50 ef_ev_per_atom=0.14 n_ef_per_ev_atom=1.226 magnetic_moment_mub_per_atom=0.0000 pbc="T T T"
Zn 0.000 0.000 0.000
Au 3.433 1.982 5.627
Th 1.716 0.991 8.078
Th 5.149 2.973 3.177


Entry 2:
14
Lattice="-0.969 -11.077 -4.223 6.214 -0.657 0.296 -3.888 -1.624 5.153" Properties=species:S:1:pos:R:3 comment="CaIn4Bi2 (GGA-PBE, relaxed)" mass_density_g_cm3=7.19 ef_ev_per_atom=-0.14 n_ef_per_ev_atom=0.533 magnetic_moment_mub_per_atom=0.0000 pbc="T T T"
Ca 0.000 0.000 0.000
Ca 2.622 -5.867 -1.964
Bi 3.109 -1.130 1.800
Bi -1.753 -12.228 -0.575
Bi 1.812 -7.315 1.571
Bi -0.456 -6.042 -0.346
In 2.928 -9.129 -2.900
In 0.837 -10.015 -0.394
In -2.192 -8.797 -0.203
In -0.119 -8.108 -2.784
In 1.474 -5.249 4.009
In 3.548 -4.560 1.428
In 0.519 -3.343 1.619
In -1.572 -4.229 4.125


Entry 3:
5
Lattice="4.472 0.000 0.000 0.000 4.472 0.000 0.000 0.000 3.696" Properties=species:S:1:pos:R:3 comment="CuBPd2F (GGA-PBE, relaxed)" mass_density_g_cm3=6.88 n_ef_per_ev_atom=0.542 e_form_raw_ev_per_atom=0.8483 magnetic_moment_mub_per_atom=0.0000 pbc="T T T"
B 2.236 2.236 1.848
Cu 0.000 0.000 1.848
Pd 0.000 2.236 0.000
Pd 2.236 0.000 0.000
F 0.000 0.000 0.000


Entry 4:
8
Lattice="5.051 0.000 0.000 2.526 4.374 0.000 2.526 1.458 8.228" Properties=species:S:1:pos:R:3 comment="Er4CdAg2Os (GGA-PBE, relaxed)" mass_density_g_cm3=10.85 ef_ev_per_atom=-0.34 n_ef_per_ev_atom=0.643 magnetic_moment_mub_per_atom=0.0000 pbc="T T T"
Er 5.051 2.916 6.949
Er 7.577 4.374 3.285
Er 2.526 1.458 4.943
Er 5.051 2.916 1.279
Cd 0.000 0.000 0.000
Ag 7.577 4.374 6.346
Ag 2.526 1.458 1.882
Os 5.051 2.916 4.114


Entry 5:
8
Lattice="6.834 0.000 0.000 0.000 6.834 0.000 3.417 3.417 2.673" Properties=species:S:1:pos:R:3 comment="V2MoPd (GGA-PBE, relaxed)" mass_density_g_cm3=8.10 ef_ev_per_atom=0.49 n_ef_per_ev_atom=1.309 magnetic_moment_mub_per_atom=0.0002 pbc="T T T"
Mo 3.417 3.417 0.000
Mo 3.417 6.834 1.336
Pd 0.000 0.000 0.000
Pd 6.834 3.417 1.336
V 5.106 1.708 0.668
V 1.728 5.125 0.668
V 5.125 5.145 2.004
V 8.542 8.523 2.004


Entry 6:
4
Lattice="-1.312 2.507 -0.493 -0.005 -1.129 2.641 7.999 4.575 1.970" Properties=species:S:1:pos:R:3 comment="CdRu (GGA-PBE, relaxed)" mass_density_g_cm3=10.53 ef_ev_per_atom=0.43 n_ef_per_ev_atom=1.008 magnetic_moment_mub_per_atom=0.3913 pbc="T T T"
Cd 0.000 0.000 0.000
Cd 4.000 2.287 0.985
Ru 1.559 1.227 2.089
Ru 5.123 4.726 2.030